# Ni3Te2 PBE optimized geometry
# VASP energy	-47.568	eV/cell
# theoretical density	7.93	g/cm3
data_Ni3Te2
_space_group_name_H-M_alt 'P 1'
_space_group_IT_number 1
_cell_length_a 6.319
_cell_length_b 6.319
_cell_length_c 6.370
_cell_angle_alpha 60.26
_cell_angle_beta 60.26
_cell_angle_gamma 60.00
loop_
_space_group_symop_operation_xyz
'x,y,z'
loop_
_atom_site_label
_atom_site_fract_x
_atom_site_fract_y
_atom_site_fract_z
Ni1 0.982 0.750 0.750
Ni2 0.750 0.518 0.750
Ni3 0.518 0.982 0.750
Ni4 0.250 0.482 0.250
Ni5 0.482 0.018 0.250
Ni6 0.018 0.250 0.250
Te1 0.886 0.886 0.343
Te2 0.386 0.386 0.843
Te3 0.114 0.114 0.657
Te4 0.614 0.614 0.157